Li3Mn2Co2O8 after structural relaxation. Source: Alexandria via LeMat-Bulk, functional GGA+U.

Cell lengths 2.961, 4.964, 10.027 Å; angles 95.47, 84.19, 87.33 degrees
Last column: magnetic moment on the atom in μB.
Fractional coordinates of all 15 atoms:
Li (0.515, 0.770, 0.233)  0.00
Li (0.655, 0.969, 0.759)  0.00
Li (0.015, 0.264, 0.231)  0.00
Mn (0.575, 0.376, 0.993)  -3.77
Mn (0.097, 0.386, 0.503)  -3.45
Co (0.601, 0.886, 0.492)  -0.04
Co (0.071, 0.875, 0.999)  1.86
O (0.081, 0.583, 0.115)  -0.03
O (0.564, 0.230, 0.597)  0.12
O (0.637, 0.527, 0.393)  0.08
O (0.577, 0.689, 0.897)  0.12
O (0.585, 0.086, 0.115)  0.08
O (0.068, 0.751, 0.594)  0.07
O (0.127, 0.030, 0.391)  0.05
O (0.082, 0.160, 0.887)  -0.02

Output
Space-group type = P1, No. 1
Energy = -92.645 eV for the cell shown